No. 1
Computed, not measured: crystalline Cd4HgSb at its relaxed geometry at the GGA-PBEsol level of DFT.

a = 5.7907 Å, b = 5.7907 Å, c = 5.7907 Å
α = 60.00°, β = 60.00°, γ = 60.00°
Sites, in units of the cell vectors:
Cd: 0.8743 0.3752 0.3752
Cd: 0.3752 0.3752 0.3752
Cd: 0.3752 0.3752 0.8743
Cd: 0.3752 0.8743 0.3752
Hg: 0.7500 0.7500 0.7500
Sb: 0.0000 0.0000 0.0000

Output
As for the calculated density: 9.3 Mg/m³. As for the density of states at the Fermi level: 2.766 states/eV/cell. Its volume is 137.3 Å³/cell. The uncorrected formation energy is 0.12 eV per atom. As for the space group: F-43m (216).


No. 2
Computed, not measured: crystalline CdHgSb2 at its relaxed geometry at the GGA-PBEsol level of DFT.

a = 3.3034 Å, b = 4.4840 Å, c = 6.7234 Å
α = 90.00°, β = 90.00°, γ = 90.00°
Sites, in units of the cell vectors:
Sb: 0.0000 0.0000 0.9496
Sb: 0.5000 0.5000 0.2999
Hg: 0.5000 0.5000 0.7539
Cd: 0.0000 0.0000 0.4966

Output
As for the calculated density: 9.3 Mg/m³. As for the density of states at the Fermi level: 1.887 states/eV/cell. Its volume is 99.6 Å³/cell. The uncorrected formation energy is 0.13 eV per atom. As for the space group: Pmm2 (25).


No. 3
Computed, not measured: crystalline CdHgSb2 at its relaxed geometry at the GGA-PBEsol level of DFT.

a = 5.1731 Å, b = 5.1731 Å, c = 5.1731 Å
α = 60.00°, β = 60.00°, γ = 60.00°
Sites, in units of the cell vectors:
Sb: 0.7500 0.7500 0.7500
Sb: 0.2500 0.2500 0.2500
Hg: 0.5000 0.5000 0.5000
Cd: 0.0000 0.0000 0.0000

Output
As for the calculated density: 9.4 Mg/m³. As for the density of states at the Fermi level: 2.369 states/eV/cell. Its volume is 97.9 Å³/cell. The uncorrected formation energy is 0.20 eV per atom. As for the space group: Fm-3m (225).


No. 4
Computed, not measured: crystalline Cd2HgSb at its relaxed geometry at the GGA-PBEsol level of DFT.

a = 3.1773 Å, b = 6.1272 Å, c = 5.2445 Å
α = 90.00°, β = 90.00°, γ = 108.74°
Sites, in units of the cell vectors:
Sb: 0.3681 0.8751 0.5000
Hg: 0.3836 0.3746 0.0000
Cd: 0.8647 0.8765 0.0000
Cd: 0.8835 0.3739 0.5000

Output
As for the calculated density: 9.4 Mg/m³. As for the density of states at the Fermi level: 1.710 states/eV/cell. Its volume is 96.7 Å³/cell. The uncorrected formation energy is 0.06 eV per atom. As for the space group: Pm (6).


No. 5
Computed, not measured: crystalline Cd2HgSb at its relaxed geometry at the GGA-PBEsol level of DFT.

a = 3.5049 Å, b = 4.6060 Å, c = 6.6176 Å
α = 101.13°, β = 90.00°, γ = 112.36°
Sites, in units of the cell vectors:
Sb: 0.0000 0.0000 0.5000
Hg: 0.5000 0.0000 0.0000
Cd: 0.7531 0.5061 0.7630
Cd: 0.2469 0.4939 0.2370

Output
As for the calculated density: 9.4 Mg/m³. As for the density of states at the Fermi level: 1.480 states/eV/cell. Its volume is 96.6 Å³/cell. The uncorrected formation energy is 0.03 eV per atom. As for the space group: C2/m (12).


No. 6
Computed, not measured: crystalline CdHgSb2 at its relaxed geometry at the GGA-PBEsol level of DFT.

a = 4.0744 Å, b = 5.2246 Å, c = 4.6288 Å
α = 90.00°, β = 90.00°, γ = 90.00°
Sites, in units of the cell vectors:
Sb: 0.0000 0.0000 0.0000
Sb: 0.5000 0.5000 0.0000
Hg: 0.0000 0.5000 0.5000
Cd: 0.5000 0.0000 0.5000

Output
As for the calculated density: 9.4 Mg/m³. As for the density of states at the Fermi level: 1.835 states/eV/cell. Its volume is 98.5 Å³/cell. The uncorrected formation energy is 0.13 eV per atom. As for the space group: Pmmm (47).


Among the records above, which one has the lowest uncorrected formation energy?
number 5


Look up the calculated density of the first one.
9.3 Mg/m³


What is the calculated density in the fourth record?
9.4 Mg/m³


Which formula does entry 5 have?
Cd2HgSb